12
Lattice="-4.588 -3.114 1.937 1.963 -10.907 -3.977 0.669 -2.752 6.067" Properties=species:S:1:pos:R:3 comment="PBE-GGA Pr4HoTm7, optimized geometry" e_form_ev_per_atom=0.29 spacegroup="C2/m (12)" de_polymorph_mev_per_atom=259 pbc="T T T"
Pr -2.151 -5.808 3.378
Pr 0.195 -10.965 0.649
Pr -1.281 -12.307 3.899
Pr -0.675 -4.466 0.128
Ho 0.000 0.000 0.000
Tm -1.494 -13.858 0.901
Tm -0.462 -2.915 3.126
Tm 1.271 -7.825 -0.661
Tm -3.228 -8.948 4.687
Tm -0.108 -8.837 3.352
Tm -2.294 -1.557 0.969
Tm -1.849 -7.936 0.675

***

18
Lattice="-4.985 -2.139 3.173 0.535 -9.449 -3.733 5.414 -5.674 6.481" Properties=species:S:1:pos:R:3 comment="PBE-GGA Pr6HoTm2, optimized geometry" e_form_ev_per_atom=0.08 spacegroup="C2/c (15)" de_polymorph_mev_per_atom=0 pbc="T T T"
Pr 0.156 -9.868 1.622
Pr 1.934 -7.381 -0.147
Pr 0.808 -7.394 4.299
Pr -0.970 -9.880 6.068
Pr -1.289 -4.134 4.099
Pr 1.128 -13.139 6.272
Pr 2.253 -13.128 1.822
Pr -0.165 -4.123 -0.352
Pr -1.078 -7.806 -1.612
Pr 1.025 -11.101 -1.399
Pr 2.042 -9.456 7.532
Pr -0.061 -6.161 7.319
Ho 3.674 -6.590 6.241
Ho -2.711 -10.672 -0.320
Tm 2.383 -10.584 4.190
Tm 2.065 -4.841 2.219
Tm -1.419 -6.678 1.731
Tm -1.101 -12.420 3.701